*P*
! Nd2HIr PBE optimized geometry; values from VASP
&SYSTEM
  ibrav = 0, nat = 4, ntyp = 3
/
ATOMIC_SPECIES
Ir 192.22 Ir.upf
H 1.01 H.upf
Nd 144.24 Nd.upf
CELL_PARAMETERS angstrom
-2.6108 -2.9050 -0.7346
0.2604 -3.4481 1.9591
-4.9702 0.3888 5.3760
ATOMIC_POSITIONS crystal
Ir 0.6680 0.6680 0.9961
H 0.4949 0.4949 0.5152
Nd 0.0806 0.0806 0.7583
Nd 0.2565 0.2565 0.2305
! total magnetization	0.00	μB per cell
! space group	R3m, No. 160

*Q*
! Nd2HIr PBE optimized geometry; values from VASP
&SYSTEM
  ibrav = 0, nat = 8, ntyp = 3
/
ATOMIC_SPECIES
Nd 144.24 Nd.upf
H 1.01 H.upf
Ir 192.22 Ir.upf
CELL_PARAMETERS angstrom
3.8553 -0.0013 0.0003
-0.0017 7.1329 0.4377
-1.9263 -3.0958 6.3141
ATOMIC_POSITIONS crystal
Nd 0.6133 0.0212 0.8011
Nd 0.3151 0.5256 0.2049
Nd 0.0476 0.5383 0.6698
Nd 0.3458 0.0339 0.2661
H 0.2188 0.1794 0.0118
H 0.4420 0.3802 0.4591
Ir 0.9462 0.8365 0.4663
Ir 0.7147 0.7230 0.0046
! total magnetization	0.00	μB per cell
! space group	C2/m, No. 12

*R*
! Nd2HIr PBE optimized geometry; values from VASP
&SYSTEM
  ibrav = 0, nat = 4, ntyp = 3
/
ATOMIC_SPECIES
Nd 144.24 Nd.upf
H 1.01 H.upf
Ir 192.22 Ir.upf
CELL_PARAMETERS angstrom
-1.7062 0.2992 3.7036
-2.9885 -2.5697 1.0878
2.6096 -4.6640 3.8360
ATOMIC_POSITIONS crystal
Nd 0.7534 0.7534 0.7398
Nd 0.2466 0.2466 0.2602
H 0.5000 0.5000 0.5000
Ir 0.0000 0.0000 0.0000
! total magnetization	0.00	μB per cell
! space group	R-3m, No. 166

The structure with the most favorable energy is *Q*; the runner-up is 0.085 eV/atom above it.

*P*
! NiH2Ir PBE optimized geometry; values from VASP
&SYSTEM
  ibrav = 0, nat = 4, ntyp = 3
/
ATOMIC_SPECIES
H 1.01 H.upf
Ir 192.22 Ir.upf
Ni 58.69 Ni.upf
CELL_PARAMETERS angstrom
-1.4751 2.0960 0.8676
-1.7009 -0.3119 2.0811
2.6281 1.8634 4.1863
ATOMIC_POSITIONS crystal
H 0.2809 0.2809 0.1574
H 0.0729 0.0729 0.7814
Ir 0.4847 0.4847 0.5459
Ni 0.6616 0.6616 0.0153
! total magnetization	0.00	μB per cell
! space group	R3m, No. 160

*Q*
! NiH2Ir PBE optimized geometry; values from VASP
&SYSTEM
  ibrav = 0, nat = 8, ntyp = 3
/
ATOMIC_SPECIES
H 1.01 H.upf
Ni 58.69 Ni.upf
Ir 192.22 Ir.upf
CELL_PARAMETERS angstrom
-3.7919 -1.4108 0.2937
1.3006 -2.9945 2.4076
-1.8536 0.0944 4.5361
ATOMIC_POSITIONS crystal
H 0.8750 0.8489 0.7500
H 0.3750 0.4011 0.7500
H 0.1511 0.6250 0.2500
H 0.5989 0.1250 0.2500
Ni 0.5000 0.5000 0.0000
Ni 0.2500 0.7500 0.5000
Ir 0.7500 0.2500 0.5000
Ir 0.0000 0.0000 0.0000
! total magnetization	0.00	μB per cell
! space group	I-42d, No. 122

*R*
! NiH2Ir PBE optimized geometry; values from VASP
&SYSTEM
  ibrav = 0, nat = 4, ntyp = 3
/
ATOMIC_SPECIES
Ni 58.69 Ni.upf
H 1.01 H.upf
Ir 192.22 Ir.upf
CELL_PARAMETERS angstrom
2.8700 0.0000 0.0000
1.4350 2.4855 0.0000
1.4350 0.8285 4.8495
ATOMIC_POSITIONS crystal
Ni 0.0000 0.0000 0.0000
H 0.8893 0.8893 0.3322
H 0.1107 0.1107 0.6678
Ir 0.5000 0.5000 0.5000
! total magnetization	0.54	μB per cell
! space group	R-3m, No. 166

*S*
! NiH2Ir PBE optimized geometry; values from VASP
&SYSTEM
  ibrav = 0, nat = 4, ntyp = 3
/
ATOMIC_SPECIES
Ni 58.69 Ni.upf
H 1.01 H.upf
Ir 192.22 Ir.upf
CELL_PARAMETERS angstrom
0.0000 2.5251 2.5251
2.5251 0.0000 2.5251
2.5251 2.5251 0.0000
ATOMIC_POSITIONS crystal
Ni 0.0000 0.0000 0.0000
H 0.7500 0.7500 0.7500
H 0.2500 0.2500 0.2500
Ir 0.5000 0.5000 0.5000
! total magnetization	0.00	μB per cell
! space group	Fm-3m, No. 225

The structure with the most favorable energy is *Q*; the runner-up is 0.046 eV/atom above it.

*P*
! Ni3HIr PBE optimized geometry; values from VASP
&SYSTEM
  ibrav = 0, nat = 5, ntyp = 3
/
ATOMIC_SPECIES
Ni 58.69 Ni.upf
H 1.01 H.upf
Ir 192.22 Ir.upf
CELL_PARAMETERS angstrom
-2.8345 -0.4601 -2.2781
-2.2325 -0.4597 2.8706
-0.6460 3.6073 0.0752
ATOMIC_POSITIONS crystal
Ni 0.0000 0.0000 0.5000
Ni 0.0000 0.5000 0.0000
Ni 0.5000 0.0000 0.0000
H 0.0000 0.0000 0.0000
Ir 0.5000 0.5000 0.5000
! total magnetization	0.00	μB per cell
! space group	Pm-3m, No. 221

*Q*
! Ni3HIr PBE optimized geometry; values from VASP
&SYSTEM
  ibrav = 0, nat = 5, ntyp = 3
/
ATOMIC_SPECIES
Ni 58.69 Ni.upf
H 1.01 H.upf
Ir 192.22 Ir.upf
CELL_PARAMETERS angstrom
4.5815 0.0000 0.0000
0.0000 4.5815 0.0000
0.0000 0.0000 4.5815
ATOMIC_POSITIONS crystal
Ni 0.5000 0.0000 0.0000
Ni 0.0000 0.0000 0.5000
Ni 0.0000 0.5000 0.0000
H 0.5000 0.5000 0.5000
Ir 0.0000 0.0000 0.0000
! total magnetization	3.77	μB per cell
! space group	Pm-3m, No. 221

The structure with the most favorable energy is *P*; the runner-up is 1.655 eV/atom above it.

*P*
! NiHIrPd2 PBE optimized geometry; values from VASP
&SYSTEM
  ibrav = 0, nat = 5, ntyp = 4
/
ATOMIC_SPECIES
Pd 106.42 Pd.upf
H 1.01 H.upf
Ni 58.69 Ni.upf
Ir 192.22 Ir.upf
CELL_PARAMETERS angstrom
-2.6779 -2.8653 0.4856
0.3637 -0.9855 -3.8096
2.8051 -2.4681 0.9062
ATOMIC_POSITIONS crystal
Pd 0.0000 0.5000 0.0000
Pd 0.5000 0.0000 0.0000
H 0.0000 0.0000 0.0000
Ni 0.5000 0.5000 0.5000
Ir 0.0000 0.0000 0.5000
! total magnetization	1.38	μB per cell
! space group	P4/mmm, No. 123

*Q*
! NiHIrPd2 PBE optimized geometry; values from VASP
&SYSTEM
  ibrav = 0, nat = 5, ntyp = 4
/
ATOMIC_SPECIES
Pd 106.42 Pd.upf
H 1.01 H.upf
Ir 192.22 Ir.upf
Ni 58.69 Ni.upf
CELL_PARAMETERS angstrom
3.9051 0.0000 0.0000
0.0000 3.9051 0.0000
0.0000 0.0000 3.8683
ATOMIC_POSITIONS crystal
Pd 0.5000 0.0000 0.0000
Pd 0.0000 0.5000 0.0000
H 0.0000 0.0000 0.0000
Ir 0.5000 0.5000 0.5000
Ni 0.0000 0.0000 0.5000
! total magnetization	0.00	μB per cell
! space group	P4/mmm, No. 123

The structure with the most favorable energy is *P*; the runner-up is 0.009 eV/atom above it.

*P*
! NiHIr2Rh PBE optimized geometry; values from VASP
&SYSTEM
  ibrav = 0, nat = 5, ntyp = 4
/
ATOMIC_SPECIES
Ni 58.69 Ni.upf
Ir 192.22 Ir.upf
Rh 102.91 Rh.upf
H 1.01 H.upf
CELL_PARAMETERS angstrom
-0.1684 -3.5905 1.4333
1.7611 -1.3484 -3.1710
3.4506 0.5157 1.6971
ATOMIC_POSITIONS crystal
Ni 0.5000 0.5000 0.5000
Ir 0.5000 0.0000 0.0000
Ir 0.0000 0.5000 0.0000
Rh 0.0000 0.0000 0.5000
H 0.0000 0.0000 0.0000
! total magnetization	1.79	μB per cell
! space group	P4/mmm, No. 123

*Q*
! NiHIr2Rh PBE optimized geometry; values from VASP
&SYSTEM
  ibrav = 0, nat = 5, ntyp = 4
/
ATOMIC_SPECIES
Ir 192.22 Ir.upf
Rh 102.91 Rh.upf
H 1.01 H.upf
Ni 58.69 Ni.upf
CELL_PARAMETERS angstrom
3.8692 0.0000 0.0000
0.0000 3.8692 0.0000
0.0000 0.0000 3.8513
ATOMIC_POSITIONS crystal
Ir 0.0000 0.5000 0.0000
Ir 0.5000 0.0000 0.0000
Rh 0.5000 0.5000 0.5000
H 0.0000 0.0000 0.0000
Ni 0.0000 0.0000 0.5000
! total magnetization	1.73	μB per cell
! space group	P4/mmm, No. 123

The structure with the most favorable energy is *Q*; the runner-up is 0.015 eV/atom above it.

*P*
! NiHIrRh2 PBE optimized geometry; values from VASP
&SYSTEM
  ibrav = 0, nat = 5, ntyp = 4
/
ATOMIC_SPECIES
Ir 192.22 Ir.upf
H 1.01 H.upf
Rh 102.91 Rh.upf
Ni 58.69 Ni.upf
CELL_PARAMETERS angstrom
3.8644 0.0000 0.0000
0.0000 3.8644 0.0000
0.0000 0.0000 3.8635
ATOMIC_POSITIONS crystal
Ir 0.0000 0.0000 0.5000
H 0.0000 0.0000 0.0000
Rh 0.0000 0.5000 0.0000
Rh 0.5000 0.0000 0.0000
Ni 0.5000 0.5000 0.5000
! total magnetization	1.87	μB per cell
! space group	P4/mmm, No. 123

*Q*
! NiHIrRh2 PBE optimized geometry; values from VASP
&SYSTEM
  ibrav = 0, nat = 5, ntyp = 4
/
ATOMIC_SPECIES
H 1.01 H.upf
Ni 58.69 Ni.upf
Rh 102.91 Rh.upf
Ir 192.22 Ir.upf
CELL_PARAMETERS angstrom
-3.4410 0.7206 -1.5832
1.4856 -0.6079 -3.5057
-0.8984 -3.7124 0.2630
ATOMIC_POSITIONS crystal
H 0.0000 0.0000 0.0000
Ni 0.0000 0.0000 0.5000
Rh 0.5000 0.0000 0.0000
Rh 0.0000 0.5000 0.0000
Ir 0.5000 0.5000 0.5000
! total magnetization	1.38	μB per cell
! space group	P4/mmm, No. 123

The structure with the most favorable energy is *Q*; the runner-up is 0.023 eV/atom above it.

*P*
! ScNi2HIr PBE optimized geometry; values from VASP
&SYSTEM
  ibrav = 0, nat = 5, ntyp = 4
/
ATOMIC_SPECIES
Sc 44.96 Sc.upf
Ni 58.69 Ni.upf
Ir 192.22 Ir.upf
H 1.01 H.upf
CELL_PARAMETERS angstrom
3.8382 0.0000 0.0000
0.0000 3.8382 0.0000
0.0000 0.0000 3.8754
ATOMIC_POSITIONS crystal
Sc 0.5000 0.5000 0.5000
Ni 0.0000 0.5000 0.0000
Ni 0.5000 0.0000 0.0000
Ir 0.0000 0.0000 0.5000
H 0.0000 0.0000 0.0000
! total magnetization	0.03	μB per cell
! space group	P4/mmm, No. 123

*Q*
! ScNi2HIr PBE optimized geometry; values from VASP
&SYSTEM
  ibrav = 0, nat = 5, ntyp = 4
/
ATOMIC_SPECIES
Sc 44.96 Sc.upf
Ni 58.69 Ni.upf
Ir 192.22 Ir.upf
H 1.01 H.upf
CELL_PARAMETERS angstrom
-1.2639 2.2292 2.7073
-3.4924 -0.5382 -1.1873
-0.3498 -3.2213 2.4892
ATOMIC_POSITIONS crystal
Sc 0.0000 0.0000 0.5000
Ni 0.5000 0.0000 0.0000
Ni 0.0000 0.5000 0.0000
Ir 0.5000 0.5000 0.5000
H 0.0000 0.0000 0.0000
! total magnetization	0.00	μB per cell
! space group	P4/mmm, No. 123

The structure with the most favorable energy is *P*; the runner-up is 0.030 eV/atom above it.

*P*
! TaNi2HIr PBE optimized geometry; values from VASP
&SYSTEM
  ibrav = 0, nat = 5, ntyp = 4
/
ATOMIC_SPECIES
H 1.01 H.upf
Ir 192.22 Ir.upf
Ni 58.69 Ni.upf
Ta 180.95 Ta.upf
CELL_PARAMETERS angstrom
-2.5343 -1.9503 -1.9429
1.6496 -3.1901 1.0505
-2.3657 -0.1557 3.2420
ATOMIC_POSITIONS crystal
H 0.0000 0.0000 0.0000
Ir 0.5000 0.5000 0.5000
Ni 0.5000 0.0000 0.0000
Ni 0.0000 0.5000 0.0000
Ta 0.0000 0.0000 0.5000
! total magnetization	0.00	μB per cell
! space group	P4/mmm, No. 123

*Q*
! TaNi2HIr PBE optimized geometry; values from VASP
&SYSTEM
  ibrav = 0, nat = 5, ntyp = 4
/
ATOMIC_SPECIES
Ni 58.69 Ni.upf
Ir 192.22 Ir.upf
Ta 180.95 Ta.upf
H 1.01 H.upf
CELL_PARAMETERS angstrom
-0.5253 -3.4330 1.6115
2.8193 0.7346 2.4840
-2.5415 1.5305 2.4319
ATOMIC_POSITIONS crystal
Ni 0.5000 0.0000 0.0000
Ni 0.0000 0.5000 0.0000
Ir 0.0000 0.0000 0.5000
Ta 0.5000 0.5000 0.5000
H 0.0000 0.0000 0.0000
! total magnetization	0.00	μB per cell
! space group	P4/mmm, No. 123

The structure with the most favorable energy is *P*; the runner-up is 0.044 eV/atom above it.

*P*
! TiNiHIr2 PBE optimized geometry; values from VASP
&SYSTEM
  ibrav = 0, nat = 5, ntyp = 4
/
ATOMIC_SPECIES
Ti 47.87 Ti.upf
Ir 192.22 Ir.upf
H 1.01 H.upf
Ni 58.69 Ni.upf
CELL_PARAMETERS angstrom
-3.8204 -0.6873 0.0303
0.6870 -3.8021 0.3760
-0.0365 0.3715 3.8229
ATOMIC_POSITIONS crystal
Ti 0.0000 0.0000 0.5000
Ir 0.5000 0.0000 0.0000
Ir 0.0000 0.5000 0.0000
H 0.0000 0.0000 0.0000
Ni 0.5000 0.5000 0.5000
! total magnetization	0.00	μB per cell
! space group	P4/mmm, No. 123

*Q*
! TiNiHIr2 PBE optimized geometry; values from VASP
&SYSTEM
  ibrav = 0, nat = 5, ntyp = 4
/
ATOMIC_SPECIES
H 1.01 H.upf
Ti 47.87 Ti.upf
Ir 192.22 Ir.upf
Ni 58.69 Ni.upf
CELL_PARAMETERS angstrom
3.9460 0.0000 0.0000
0.0000 3.9460 0.0000
0.0000 0.0000 3.6920
ATOMIC_POSITIONS crystal
H 0.0000 0.0000 0.0000
Ti 0.5000 0.5000 0.5000
Ir 0.0000 0.5000 0.0000
Ir 0.5000 0.0000 0.0000
Ni 0.0000 0.0000 0.5000
! total magnetization	0.00	μB per cell
! space group	P4/mmm, No. 123

The structure with the most favorable energy is *Q*; the runner-up is 0.063 eV/atom above it.

*P*
! ZnNi2HIr PBE optimized geometry; values from VASP
&SYSTEM
  ibrav = 0, nat = 5, ntyp = 4
/
ATOMIC_SPECIES
Ni 58.69 Ni.upf
Ir 192.22 Ir.upf
H 1.01 H.upf
Zn 65.41 Zn.upf
CELL_PARAMETERS angstrom
3.6189 0.0000 0.0000
0.0000 3.6189 0.0000
0.0000 0.0000 3.9862
ATOMIC_POSITIONS crystal
Ni 0.0000 0.5000 0.0000
Ni 0.5000 0.0000 0.0000
Ir 0.5000 0.5000 0.5000
H 0.0000 0.0000 0.0000
Zn 0.0000 0.0000 0.5000
! total magnetization	0.00	μB per cell
! space group	P4/mmm, No. 123

*Q*
! ZnNi2HIr PBE optimized geometry; values from VASP
&SYSTEM
  ibrav = 0, nat = 5, ntyp = 4
/
ATOMIC_SPECIES
H 1.01 H.upf
Zn 65.41 Zn.upf
Ni 58.69 Ni.upf
Ir 192.22 Ir.upf
CELL_PARAMETERS angstrom
-1.1570 -1.0333 3.3762
-2.2308 -2.5400 -1.5419
2.8102 -2.5744 0.1751
ATOMIC_POSITIONS crystal
H 0.0000 0.0000 0.0000
Zn 0.5000 0.5000 0.5000
Ni 0.5000 0.0000 0.0000
Ni 0.0000 0.5000 0.0000
Ir 0.0000 0.0000 0.5000
! total magnetization	0.81	μB per cell
! space group	P4/mmm, No. 123

The structure with the most favorable energy is *Q*; the runner-up is 0.111 eV/atom above it.

*P*
! Zr2NiHIr PBE optimized geometry; values from VASP
&SYSTEM
  ibrav = 0, nat = 5, ntyp = 4
/
ATOMIC_SPECIES
H 1.01 H.upf
Ni 58.69 Ni.upf
Ir 192.22 Ir.upf
Zr 91.22 Zr.upf
CELL_PARAMETERS angstrom
4.5053 0.0000 0.0000
0.0000 4.5053 0.0000
0.0000 0.0000 3.5145
ATOMIC_POSITIONS crystal
H 0.0000 0.0000 0.0000
Ni 0.0000 0.0000 0.5000
Ir 0.5000 0.5000 0.5000
Zr 0.0000 0.5000 0.0000
Zr 0.5000 0.0000 0.0000
! total magnetization	0.00	μB per cell
! space group	P4/mmm, No. 123

*Q*
! Zr2NiHIr PBE optimized geometry; values from VASP
&SYSTEM
  ibrav = 0, nat = 5, ntyp = 4
/
ATOMIC_SPECIES
H 1.01 H.upf
Zr 91.22 Zr.upf
Ni 58.69 Ni.upf
Ir 192.22 Ir.upf
CELL_PARAMETERS angstrom
-0.2166 3.6151 2.5572
-4.4278 -0.2054 -0.0846
0.0414 -2.1383 3.0265
ATOMIC_POSITIONS crystal
H 0.0000 0.0000 0.0000
Zr 0.0000 0.5000 0.0000
Zr 0.5000 0.0000 0.0000
Ni 0.5000 0.5000 0.5000
Ir 0.0000 0.0000 0.5000
! total magnetization	0.00	μB per cell
! space group	P4/mmm, No. 123

The structure with the most favorable energy is *P*; the runner-up is 0.129 eV/atom above it.

*P*
! RbZnHIrO PBE optimized geometry; values from VASP
&SYSTEM
  ibrav = 0, nat = 10, ntyp = 5
/
ATOMIC_SPECIES
Rb 85.47 Rb.upf
H 1.01 H.upf
Ir 192.22 Ir.upf
Zn 65.41 Zn.upf
O 16.00 O.upf
CELL_PARAMETERS angstrom
-4.2470 2.4009 -3.9580
-2.1024 -2.2728 0.8772
-2.5350 5.3617 7.8156
ATOMIC_POSITIONS crystal
Rb 0.3582 0.0000 0.1006
Rb 0.3582 0.5000 0.6006
H 0.5969 0.5000 0.8941
H 0.5969 0.0000 0.3941
Ir 0.8197 0.0000 0.5037
Ir 0.8197 0.5000 0.0037
Zn 0.8711 0.5000 0.3172
Zn 0.8711 0.0000 0.8172
O 0.0323 0.0000 0.6649
O 0.0323 0.5000 0.1649
! total magnetization	1.55	μB per cell
! space group	Cm, No. 8

*Q*
! RbZnHIrO PBE optimized geometry; values from VASP
&SYSTEM
  ibrav = 0, nat = 10, ntyp = 5
/
ATOMIC_SPECIES
O 16.00 O.upf
Ir 192.22 Ir.upf
Zn 65.41 Zn.upf
Rb 85.47 Rb.upf
H 1.01 H.upf
CELL_PARAMETERS angstrom
-2.0175 1.3123 1.8786
-2.9649 -2.4795 -1.4521
4.9812 -10.6688 8.0468
ATOMIC_POSITIONS crystal
O 0.0653 0.5000 0.9419
O 0.0653 0.0000 0.4419
Ir 0.1963 0.5000 0.0795
Ir 0.1963 0.0000 0.5795
Zn 0.7288 0.5000 0.6137
Zn 0.7288 0.0000 0.1137
Rb 0.4954 0.0000 0.8691
Rb 0.4954 0.5000 0.3691
H 0.7713 0.0000 0.6568
H 0.7713 0.5000 0.1568
! total magnetization	0.92	μB per cell
! space group	Cm, No. 8

The structure with the most favorable energy is *P*; the runner-up is 0.063 eV/atom above it.